Record 1
# GGA-PBE ErCuGePd, relaxed
# Energy   -5.158 eV/atom
# Volume   275.4 Å³/cell
# Spin magnetization   0.00 μB per formula unit
# ρ   9.89 Mg/m³
# Calculated formation energy   -0.5403 eV per atom
data_ErCuGePd
_space_group_name_H-M_alt 'P 1'
_space_group_IT_number 1
_cell_length_a 6.506
_cell_length_b 6.506
_cell_length_c 6.506
_cell_angle_alpha 90.00
_cell_angle_beta 90.00
_cell_angle_gamma 90.00
loop_
_space_group_symop_operation_xyz
'x,y,z'
loop_
_atom_site_label
_atom_site_type_symbol
_atom_site_fract_x
_atom_site_fract_y
_atom_site_fract_z
Er1 Er 0.000 0.000 0.000
Er2 Er 0.000 0.500 0.500
Er3 Er 0.500 0.000 0.500
Er4 Er 0.500 0.500 0.000
Cu1 Cu 0.250 0.250 0.750
Cu2 Cu 0.250 0.750 0.250
Cu3 Cu 0.750 0.250 0.250
Cu4 Cu 0.750 0.750 0.750
Ge1 Ge 0.000 0.000 0.500
Ge2 Ge 0.000 0.500 0.000
Ge3 Ge 0.500 0.000 0.000
Ge4 Ge 0.500 0.500 0.500
Pd1 Pd 0.250 0.250 0.250
Pd2 Pd 0.250 0.750 0.750
Pd3 Pd 0.750 0.250 0.750
Pd4 Pd 0.750 0.750 0.250



Record 2
# GGA-PBE HgBiN2F, relaxed
# Energy   -3.747 eV/atom
# Volume   86.7 Å³/cell
# Spin magnetization   1.17 μB per formula unit
# Formation energy from raw total energies   0.794 eV/atom
# ρ   8.75 Mg/m³
data_HgBiN2F
_space_group_name_H-M_alt 'P 1'
_space_group_IT_number 1
_cell_length_a 4.420
_cell_length_b 4.420
_cell_length_c 4.437
_cell_angle_alpha 90.00
_cell_angle_beta 90.00
_cell_angle_gamma 90.00
loop_
_space_group_symop_operation_xyz
'x,y,z'
loop_
_atom_site_label
_atom_site_type_symbol
_atom_site_fract_x
_atom_site_fract_y
_atom_site_fract_z
Hg1 Hg 0.000 0.000 0.000
Bi1 Bi 0.500 0.500 0.500
N1 N 0.000 0.500 0.500
N2 N 0.500 0.000 0.500
F1 F 0.500 0.500 0.000



Record 3
# GGA-PBE Er2Si3Ni12Ir, relaxed
# Energy   -5.840 eV/atom
# Volume   241.7 Å³/cell
# Spin magnetization   0.00 μB per formula unit
# Formation energy from raw total energies   -0.082 eV/atom
# ρ   9.04 Mg/m³
data_Er2Si3Ni12Ir
_space_group_name_H-M_alt 'P 1'
_space_group_IT_number 1
_cell_length_a 6.252
_cell_length_b 6.252
_cell_length_c 6.252
_cell_angle_alpha 84.97
_cell_angle_beta 84.97
_cell_angle_gamma 84.97
loop_
_space_group_symop_operation_xyz
'x,y,z'
loop_
_atom_site_label
_atom_site_type_symbol
_atom_site_fract_x
_atom_site_fract_y
_atom_site_fract_z
Er1 Er 0.189 0.189 0.189
Er2 Er 0.811 0.811 0.811
Si1 Si 0.000 0.500 0.500
Si2 Si 0.500 0.000 0.500
Si3 Si 0.500 0.500 0.000
Ni1 Ni 0.105 0.105 0.613
Ni2 Ni 0.105 0.613 0.105
Ni3 Ni 0.198 0.694 0.694
Ni4 Ni 0.306 0.306 0.802
Ni5 Ni 0.306 0.802 0.306
Ni6 Ni 0.387 0.895 0.895
Ni7 Ni 0.613 0.105 0.105
Ni8 Ni 0.694 0.198 0.694
Ni9 Ni 0.694 0.694 0.198
Ni10 Ni 0.802 0.306 0.306
Ni11 Ni 0.895 0.387 0.895
Ni12 Ni 0.895 0.895 0.387
Ir1 Ir 0.500 0.500 0.500